Entry i
DFT (GGA-PBE) results for a geometry-optimized Nd2ThMg structure.

Cell: 5.6379 5.6379 5.6379 Å, 60.00 60.00 60.00°
Element x y z (fractional)
1 Nd 0.2500 0.2500 0.2500
2 Nd 0.7500 0.7500 0.7500
3 Mg 0.5000 0.5000 0.5000
4 Th 0.0000 0.0000 0.0000

Density in g/cm3: 7.14
Calculated volume in A^3/atom: 31.7
N(E_F) in states/eV/cell: 6.393

***

Entry ii
DFT (GGA-PBE) results for a geometry-optimized Nd2ThMg structure.

Cell: 3.5458 3.5458 12.6103 Å, 81.92 81.92 60.00°
Element x y z (fractional)
1 Mg 0.0000 0.0000 0.0000
2 Nd 0.0898 0.0898 0.7306
3 Nd 0.9102 0.9102 0.2694
4 Th 0.5000 0.5000 0.5000

Density in g/cm3: 6.68
Calculated volume in A^3/atom: 33.9
N(E_F) in states/eV/cell: 4.295

***

The relative energies come out as entry i 0; entry ii 47, with values in meV per atom.

***

Entry i
DFT (GGA-PBE) results for a geometry-optimized Nd2ThMg structure.

Cell: 3.5962 3.5962 11.6767 Å, 81.14 81.14 60.00°
Element x y z (fractional)
1 Th 0.6669 0.6669 0.9993
2 Nd 0.0832 0.0832 0.7503
3 Nd 0.2500 0.2500 0.2499
4 Mg 0.4998 0.4998 0.5005

Density in g/cm3: 7.03
Calculated volume in A^3/atom: 32.2
N(E_F) in states/eV/cell: 4.622

***

Entry ii
DFT (GGA-PBE) results for a geometry-optimized Nd2ThMg structure.

Cell: 3.6518 3.6518 9.4401 Å, 90.00 90.00 90.00°
Element x y z (fractional)
1 Th 0.5000 0.5000 0.5000
2 Mg 0.5000 0.5000 0.0000
3 Nd 0.0000 0.0000 0.2416
4 Nd 0.0000 0.0000 0.7584

Density in g/cm3: 7.19
Calculated volume in A^3/atom: 31.5
N(E_F) in states/eV/cell: 3.579

***

Entry iii
DFT (GGA-PBE) results for a geometry-optimized Nd2ThMg structure.

Cell: 4.9978 5.0122 5.0122 Å, 90.00 90.00 90.00°
Element x y z (fractional)
1 Nd 0.0000 0.5000 0.0000
2 Nd 0.0000 0.0000 0.5000
3 Th 0.5000 0.5000 0.5000
4 Mg 0.5000 0.0000 0.0000

Density in g/cm3: 7.21
Calculated volume in A^3/atom: 31.4
N(E_F) in states/eV/cell: 6.217

***

The relative energies come out as entry i 78; entry ii 0; entry iii 94, with values in meV per atom.

***

Entry i
DFT (GGA-PBE) results for a geometry-optimized NdThMg structure.

Cell: 3.5823 3.5823 14.1479 Å, 90.00 90.00 90.00°
Element x y z (fractional)
1 Th 0.0000 0.5000 0.5864
2 Th 0.5000 0.0000 0.4136
3 Mg 0.0000 0.5000 0.9357
4 Mg 0.5000 0.0000 0.0643
5 Nd 0.5000 0.0000 0.7671
6 Nd 0.0000 0.5000 0.2329

Density in g/cm3: 7.33
Calculated volume in A^3/atom: 30.3
N(E_F) in states/eV/cell: 7.850

***

Entry ii
DFT (GGA-PBE) results for a geometry-optimized NdThMg structure.

Cell: 3.4996 5.4991 5.4991 Å, 120.00 90.00 90.00°
Element x y z (fractional)
1 Mg 0.3735 0.3333 0.6667
2 Nd 0.5963 0.6667 0.3333
3 Th 0.0301 0.0000 0.0000

Density in g/cm3: 7.26
Calculated volume in A^3/atom: 30.6
N(E_F) in states/eV/cell: 3.838

***

The relative energies come out as entry i 0; entry ii 161, with values in meV per atom.

***

Entry i
DFT (GGA-PBE) results for a geometry-optimized NdYThMg structure.

Cell: 3.6280 3.6280 9.3027 Å, 90.00 90.00 90.00°
Element x y z (fractional)
1 Y 0.0000 0.0000 0.5601
2 Nd 0.0000 0.0000 0.0797
3 Mg 0.5000 0.5000 0.3280
4 Th 0.5000 0.5000 0.8169

Density in g/cm3: 6.64
Calculated volume in A^3/atom: 30.6
N(E_F) in states/eV/cell: 4.088

***

Entry ii
DFT (GGA-PBE) results for a geometry-optimized NdYThMg structure.

Cell: 5.5893 5.5893 5.5893 Å, 60.00 60.00 60.00°
Element x y z (fractional)
1 Mg 0.0000 0.0000 0.0000
2 Nd 0.2500 0.2500 0.2500
3 Y 0.7500 0.7500 0.7500
4 Th 0.5000 0.5000 0.5000

Density in g/cm3: 6.58
Calculated volume in A^3/atom: 30.9
N(E_F) in states/eV/cell: 7.406

***

The relative energies come out as entry i 0; entry ii 203, with values in meV per atom.